Density functional theory data (PBE) for an optimized crystal structure of In2AuS2.

Unit cell a=10.2327 b=10.2327 c=6.7503 alpha=108.61 beta=108.61 gamma=21.59
Last column: nearest neighbours and their distance in Å.
Fractional coordinates of all 10 atoms:
In (0.1503, 0.1503, 0.3164)  3 S 2.56
In (0.3486, 0.3486, 0.1827)  3 S 2.56-2.57
In (0.6514, 0.6514, 0.8173)  3 S 2.56-2.57
In (0.8497, 0.8497, 0.6836)  3 S 2.56
Au (0.2501, 0.2501, 0.7486)  6 In 2.90-2.96
Au (0.7499, 0.7499, 0.2514)  6 In 2.90-2.96
S (0.0850, 0.0850, 0.9208)  3 In 2.56
S (0.4153, 0.4153, 0.5784)  3 In 2.56-2.57
S (0.5847, 0.5847, 0.4216)  3 In 2.56-2.57
S (0.9150, 0.9150, 0.0792)  3 In 2.56

Total energy: -37.2 eV/cell
Distance to the lowest polymorph of the same formula: 0 meV/atom
Symmetry: C2/m (12)
Energy relative to the elements, uncorrected: -0.3207 eV/atom